VASP calculation (PBE) on a relaxed PmEuDyPb crystal.

a = 7.935 Å, b = 7.935 Å, c = 7.935 Å
α = 90.00°, β = 90.00°, γ = 90.00°
Space group F-43m (No. 216)
Unique sites:
Pm: 0.000 0.000 0.000
Eu: 0.250 0.250 0.750
Dy: 0.250 0.250 0.250
Pb: 0.000 0.000 0.500

## Properties
- V (Å³/cell) = 499.65
- density of states at the Fermi level (states/eV per cell) = 25.254
- energy of formation (eV per atom) = -0.0884


VASP calculation (PBE) on a relaxed TbEuDyY crystal.

a = 8.143 Å, b = 8.143 Å, c = 8.143 Å
α = 90.00°, β = 90.00°, γ = 90.00°
Space group F-43m (No. 216)
Unique sites:
Tb: 0.000 0.000 0.000
Eu: 0.250 0.250 0.250
Dy: 0.000 0.000 0.500
Y: 0.250 0.250 0.750

## Properties
- V (Å³/cell) = 539.87
- density of states at the Fermi level (states/eV per cell) = 30.175
- energy of formation (eV per atom) = 0.1617


VASP calculation (PBE) on a relaxed NaPuTl6 crystal.

a = 4.846 Å, b = 4.846 Å, c = 9.620 Å
α = 90.00°, β = 90.00°, γ = 90.00°
Space group P4/mmm (No. 123)
Unique sites:
Na: 0.000 0.000 0.000
Pu: 0.000 0.000 0.500
Tl: 0.000 0.500 0.252
Tl: 0.500 0.500 0.000
Tl: 0.500 0.500 0.500

## Properties
- V (Å³/cell) = 225.96
- density of states at the Fermi level (states/eV per cell) = 16.624
- energy of formation (eV per atom) = -0.0208


VASP calculation (PBE) on a relaxed Ho8Co2Rh crystal.

a = 8.068 Å, b = 12.288 Å, c = 5.887 Å
α = 90.00°, β = 108.19°, γ = 90.00°
Space group Cm (No. 8)
Unique sites:
Ho: 0.000 0.000 0.000
Ho: 0.074 0.368 0.778
Ho: 0.157 0.131 0.585
Ho: 0.225 0.500 0.369
Ho: 0.364 0.216 0.184
Co: 0.366 0.309 0.685
Rh: 0.361 0.000 0.320

## Properties
- V (Å³/cell) = 554.55
- density of states at the Fermi level (states/eV per cell) = 20.548
- energy of formation (eV per atom) = -0.1958


VASP calculation (PBE) on a relaxed K2ZnSbSe4 crystal.

a = 11.774 Å, b = 12.117 Å, c = 8.459 Å
α = 90.00°, β = 132.11°, γ = 90.00°
Space group C2/c (No. 15)
Unique sites:
K: 0.000 0.000 0.000
K: 0.250 0.250 0.000
Zn: 0.250 0.250 0.500
Sb: 0.000 0.500 0.000
Se: 0.031 0.266 0.493
Se: 0.218 0.486 0.458

## Properties
- V (Å³/cell) = 895.25
- density of states at the Fermi level (states/eV per cell) = 28.813
- formation energy (no corrections) (meV per atom) = -590


VASP calculation (PBE) on a relaxed Be2CdTc crystal.

a = 2.748 Å, b = 3.910 Å, c = 4.939 Å
α = 90.00°, β = 106.06°, γ = 90.00°
Space group Pm (No. 6)
Unique sites:
Be: 0.000 0.000 0.000
Be: 0.136 0.500 0.274
Cd: 0.739 0.000 0.480
Tc: 0.421 0.500 0.841

## Properties
- V (Å³/cell) = 51.01
- density of states at the Fermi level (states/eV per cell) = 2.144
- energy of formation (eV per atom) = 0.2118


VASP calculation (PBE) on a relaxed NaLaCdAu crystal.

a = 7.459 Å, b = 7.459 Å, c = 7.459 Å
α = 90.00°, β = 90.00°, γ = 90.00°
Space group F-43m (No. 216)
Unique sites:
Na: 0.000 0.000 0.000
La: 0.000 0.000 0.500
Cd: 0.250 0.250 0.250
Au: 0.250 0.250 0.750

## Properties
- V (Å³/cell) = 414.98
- density of states at the Fermi level (states/eV per cell) = 11.209
- energy of formation (eV per atom) = -0.3903


VASP calculation (PBE) on a relaxed Pm5B2C5 crystal.

a = 13.783 Å, b = 3.310 Å, c = 9.919 Å
α = 90.00°, β = 123.37°, γ = 90.00°
Space group C2/m (No. 12)
Unique sites:
Pm: 0.000 0.000 0.000
Pm: 0.118 0.500 0.443
Pm: 0.173 0.500 0.814
B: 0.181 0.500 0.225
C: 0.000 0.000 0.500
C: 0.168 0.500 0.058
C: 0.183 0.000 0.305

## Properties
- V (Å³/cell) = 377.86
- density of states at the Fermi level (states/eV per cell) = 7.377
- energy of formation (eV per atom) = -0.0191


VASP calculation (PBE) on a relaxed CsF8 crystal.

a = 5.450 Å, b = 8.004 Å, c = 8.590 Å
α = 90.00°, β = 90.00°, γ = 90.00°
Space group Immm (No. 71)
Unique sites:
Cs: 0.000 0.000 0.000
F: 0.000 0.000 0.417
F: 0.000 0.382 0.356
F: 0.000 0.411 0.000

## Properties
- V (Å³/cell) = 374.66
- formation energy (no corrections) (meV per atom) = -526


VASP calculation (PBE) on a relaxed NdDy12Y2 crystal.

a = 7.139 Å, b = 11.167 Å, c = 24.344 Å
α = 90.00°, β = 94.24°, γ = 90.00°
Space group C2/m (No. 12)
Unique sites:
Nd: 0.250 0.000 0.000
Dy: 0.018 0.250 0.075
Dy: 0.112 0.250 0.445
Dy: 0.142 0.000 0.574
Dy: 0.142 0.500 0.575
Dy: 0.167 0.250 0.669
Dy: 0.200 0.251 0.798
Dy: 0.216 0.000 0.861
Dy: 0.216 0.500 0.862
Y: 0.067 0.500 0.273
Y: 0.068 0.000 0.273

## Properties
- V (Å³/cell) = 1935.39
- density of states at the Fermi level (states/eV per cell) = 95.074
- energy of formation (eV per atom) = 0.1070


VASP calculation (PBE) on a relaxed CrHg2As crystal.

a = 3.599 Å, b = 3.309 Å, c = 7.603 Å
α = 90.00°, β = 103.17°, γ = 90.00°
Space group Pm (No. 6)
Unique sites:
Cr: 0.000 0.000 0.000
Hg: 0.209 0.000 0.398
Hg: 0.849 0.500 0.678
As: 0.538 0.500 0.079

## Properties
- V (Å³/cell) = 88.18
- density of states at the Fermi level (states/eV per cell) = 2.097
- energy of formation (eV per atom) = 0.1547


VASP calculation (PBE) on a relaxed La4YTl crystal.

a = 6.348 Å, b = 7.140 Å, c = 9.095 Å
α = 90.00°, β = 104.65°, γ = 90.00°
Space group P2_1/m (No. 11)
Unique sites:
La: 0.000 0.000 0.000
La: 0.218 0.000 0.656
La: 0.487 0.250 0.006
Y: 0.301 0.750 0.332
Tl: 0.284 0.250 0.342

## Properties
- V (Å³/cell) = 398.79
- density of states at the Fermi level (states/eV per cell) = 16.611
- energy of formation (eV per atom) = -0.1185